Record 1
Here is a relaxed Yb4Zr3O12 crystal from Alexandria. Energies are from PBE.

Results
* E_form (uncorrected): -295 kJ per mole of atoms
* ΔE to the lowest computed polymorph: 0 meV/atom

a b c (Å): 6.3994 6.4032 6.5634
angles (deg): 98.79 99.43 99.45
Closest atoms and distances in Å follow each position.
Space group P-1 (No. 2)
Symmetry-distinct sites (fractional):
Yb 0.1350 0.3032 0.1066 x2  6 O 2.23-2.41
Yb 0.3004 0.6087 0.6337 x2  7 O 2.23-2.45
Zr 0.0000 0.0000 0.5000 x1  6 O 2.09-2.18
Zr 0.3973 0.8526 0.1746 x2  6 O 2.08-2.24
O 0.0649 0.3143 0.4421 x2  1 Zr 2.09, 2 Yb 2.26-2.31
O 0.0869 0.9222 0.1937 x2  2 Zr 2.12-2.18, 1 Yb 2.35
O 0.1879 0.5876 0.9352 x2  1 Zr 2.21, 3 Yb 2.23-2.29
O 0.3225 0.9785 0.6131 x2  2 Zr 2.10-2.11
O 0.4159 0.5871 0.3205 x2  1 Zr 2.08, 1 Yb 2.29
O 0.4338 0.1738 0.0764 x2  2 Zr 2.11-2.24, 1 Yb 2.23

---

Record 2
Here is a relaxed GdCdGe2 crystal from Alexandria. Energies are from PBE.

Results
* ΔE to the lowest computed polymorph: 0 meV/atom
* ΔH_f (0 K): -40.5 kJ per mole of atoms

a b c (Å): 4.5450 4.5450 4.1346
angles (deg): 90.00 90.00 90.00
Closest atoms and distances in Å follow each position.
Space group P4/mmm (No. 123)
Symmetry-distinct sites (fractional):
Gd 0.0000 0.0000 0.0000 x1  8 Ge 3.07, 4 Cd 3.21
Cd 0.5000 0.5000 0.0000 x1  8 Ge 3.07, 4 Gd 3.21
Ge 0.0000 0.5000 0.5000 x2  4 Cd 3.07, 4 Gd 3.07, 4 Ge 3.21